Record 1
Cu2AsRh | meta-GGA SCAN | PBEsol geometry

DFT formation energy (eV/atom): -0.008
Volume (Å³/f.u.): 53
N(E_F) (states/eV/cell): 1.965

Cell lengths 2.958, 3.597, 4.953 Å; angles 90.00, 90.00, 90.00 degrees
Sites, in units of the cell vectors:
Cu 0.000 0.000 0.249
Cu 0.000 0.000 0.751
As 0.500 0.500 0.500
Rh 0.500 0.500 0.000

Record 2
ZrTcPb2 | meta-GGA SCAN | PBEsol geometry

DFT formation energy (eV/atom): 0.181
Volume (Å³/f.u.): 85
N(E_F) (states/eV/cell): 2.372
Distance to the lowest polymorph of the same formula (meV/atom): 0

Cell lengths 3.376, 5.162, 5.544 Å; angles 111.02, 107.73, 90.00 degrees
Sites, in units of the cell vectors:
Pb 0.989 0.964 0.978
Pb 0.771 0.306 0.541
Zr 0.218 0.755 0.436
Tc 0.522 0.475 0.044

Record 3
BeMo2Br | meta-GGA SCAN | PBEsol geometry

Volume (Å³/f.u.): 63
N(E_F) (states/eV/cell): 2.823
Distance to the lowest polymorph of the same formula (meV/atom): 0
Raw formation energy (eV/atom): 0.32

Cell lengths 3.109, 3.192, 6.573 Å; angles 103.73, 90.00, 90.00 degrees
Sites, in units of the cell vectors:
Be 0.000 0.400 0.434
Br 0.500 0.055 0.724
Mo 0.500 0.828 0.285
Mo 0.000 0.217 0.057